! Pm3NdHoEr, optimized geometry, DFT PBE-GGA; values from VASP
&SYSTEM
  ibrav = 0, nat = 12, ntyp = 4
/
ATOMIC_SPECIES
Ho 164.93 Ho.upf
Pm 145.00 Pm.upf
Nd 144.24 Nd.upf
Er 167.26 Er.upf
CELL_PARAMETERS angstrom
5.1202 0.0000 0.0000
0.0000 7.9723 -1.1633
0.0000 -3.3575 10.2758
ATOMIC_POSITIONS crystal
Ho 0.2500 0.1256 0.6254
Ho 0.7500 0.8744 0.3746
Pm 0.7500 0.8719 0.0420
Pm 0.7500 0.3777 0.2075
Pm 0.2500 0.6272 0.4574
Pm 0.7500 0.3728 0.5426
Pm 0.2500 0.1281 0.9580
Pm 0.2500 0.6223 0.7925
Nd 0.7500 0.8774 0.7080
Nd 0.2500 0.1226 0.2920
Er 0.7500 0.3757 0.8754
Er 0.2500 0.6243 0.1246
! Symmetry: P2_1/m (11)
! Uncorrected energy in eV per atom: -4.6719
! DFT formation energy in meV/atom: 21
! Total moment in μB per formula unit: 0.0